1.
VASP calculation (GGA-PBEsol) on a relaxed structure of YMn2In.

Cell: 3.830 4.310 4.310 Å, 90.00 90.00 90.00°
Each line ends with the local moment (μB).
Atoms (fractional coordinates):
Mn 0.000 0.000 0.500  2.69
Mn 0.000 0.500 0.000  2.69
In 0.500 0.000 0.000  -0.13
Y 0.500 0.500 0.500  -0.30

Summary:
* size of the total moment: 5.0 μB/f.u.
* density of states at the Fermi level: 4.300 states/eV/cell
* energy relative to the elements: 0.247 eV per atom

---

2.
VASP calculation (GGA-PBEsol) on a relaxed structure of YMn2In2.

Cell: 4.034 4.034 6.835 Å, 107.16 107.16 90.00°
Each line ends with the local moment (μB).
Atoms (fractional coordinates):
Mn 0.750 0.250 0.500  3.06
Mn 0.250 0.750 0.500  3.06
In 0.387 0.387 0.774  -0.10
In 0.613 0.613 0.226  -0.10
Y 0.000 0.000 0.000  -0.25

Summary:
* size of the total moment: 5.7 μB/f.u.
* density of states at the Fermi level: 5.406 states/eV/cell
* energy relative to the elements: 0.128 eV per atom